Entry 1:
{"formula": "TaIn2F2", "functional": "PBE-GGA", "state": "relaxed", "lattice_angstrom": [[-0.4030, 1.4893, 2.9295], [-2.9177, -1.5203, 0.3715], [1.7056, -5.6609, 4.9836]], "species": ["F", "F", "In", "In", "Ta"], "fractional_positions": [[0.7500, 0.2500, 0.5000], [0.2500, 0.7500, 0.5000], [0.3631, 0.3631, 0.2738], [0.6369, 0.6369, 0.7262], [0.0000, 0.0000, 0.0000]], "relative_energy_ev_per_fu": 0.00, "total_magnetization_mub_per_fu": 0.0, "space_group": "No. 139"}

---

Entry 2:
{"formula": "Ta2InF2", "functional": "PBE-GGA", "state": "relaxed", "lattice_angstrom": [[-5.0175, 2.7913, 4.9482], [-4.9768, -5.3435, -2.0322], [1.0606, -1.7783, 2.0785]], "species": ["F", "F", "F", "F", "In", "In", "Ta", "Ta", "Ta", "Ta"], "fractional_positions": [[0.1148, 0.6148, 0.5000], [0.6148, 0.8852, 0.5000], [0.8852, 0.3852, 0.5000], [0.3852, 0.1148, 0.5000], [0.0000, 0.0000, 0.0000], [0.5000, 0.5000, 0.0000], [0.3708, 0.8708, 0.0000], [0.8708, 0.6292, 0.0000], [0.6292, 0.1292, 0.0000], [0.1292, 0.3708, 0.0000]], "relative_energy_ev_per_fu": 3.37, "total_magnetization_mub_per_fu": 0.0, "space_group": "No. 127"}

---

Entry 3:
{"formula": "Ta3InF", "functional": "PBE-GGA", "state": "relaxed", "lattice_angstrom": [[-1.1953, -3.8246, -1.7977], [3.9899, -1.6369, 0.8297], [-1.3926, -1.4074, 3.9202]], "species": ["F", "In", "Ta", "Ta", "Ta"], "fractional_positions": [[0.0000, 0.0000, 0.0000], [0.5000, 0.5000, 0.5000], [0.0000, 0.5000, 0.0000], [0.0000, 0.0000, 0.5000], [0.5000, 0.0000, 0.0000]], "relative_energy_ev_per_fu": 0.00, "total_magnetization_mub_per_fu": 0.0, "space_group": "No. 221"}

---

Entry 4:
{"formula": "TaInF2", "functional": "PBE-GGA", "state": "relaxed", "lattice_angstrom": [[4.2806, 0.0000, 0.0000], [0.0000, 4.2806, 0.0000], [2.1403, 2.1403, 7.2195]], "species": ["F", "F", "F", "F", "In", "In", "Ta", "Ta"], "fractional_positions": [[0.7844, 0.1250, 0.2500], [0.9656, 0.6250, 0.2500], [0.3750, 0.2156, 0.7500], [0.8750, 0.0344, 0.7500], [0.5000, 0.5000, 0.0000], [0.2500, 0.7500, 0.5000], [0.0000, 0.0000, 0.0000], [0.7500, 0.2500, 0.5000]], "relative_energy_ev_per_fu": 1.42, "total_magnetization_mub_per_fu": 0.0, "space_group": "No. 122"}

---

Entry 5:
{"formula": "TaIn2F2", "functional": "PBE-GGA", "state": "relaxed", "lattice_angstrom": [[5.9564, 0.0000, 0.0000], [0.0000, 5.9564, 0.0000], [2.9782, 2.9782, 3.1194]], "species": ["F", "F", "In", "In", "Ta"], "fractional_positions": [[0.3053, 0.3053, 0.3894], [0.6947, 0.6947, 0.6106], [0.7500, 0.2500, 0.5000], [0.2500, 0.7500, 0.5000], [0.0000, 0.0000, 0.0000]], "relative_energy_ev_per_fu": 0.26, "total_magnetization_mub_per_fu": 0.6, "space_group": "No. 139"}

---

Entry 6:
{"formula": "TaIn2F2", "functional": "PBE-GGA", "state": "relaxed", "lattice_angstrom": [[-3.2586, -3.6008, -5.7610], [0.6853, -6.5311, 3.6944], [-2.6579, 0.4223, 1.2395]], "species": ["F", "F", "F", "F", "In", "In", "In", "In", "Ta", "Ta"], "fractional_positions": [[0.3817, 0.8817, 0.0000], [0.8817, 0.6183, 0.0000], [0.6183, 0.1183, 0.0000], [0.1183, 0.3817, 0.0000], [0.2033, 0.7033, 0.5000], [0.7033, 0.7967, 0.5000], [0.7967, 0.2967, 0.5000], [0.2967, 0.2033, 0.5000], [0.0000, 0.0000, 0.0000], [0.5000, 0.5000, 0.0000]], "relative_energy_ev_per_fu": 0.59, "total_magnetization_mub_per_fu": 0.0, "space_group": "No. 127"}

---

Respective raw formation energy values: -4.4, -1.0, 1.0, -4.7, -4.1, -3.8 eV per formula unit.
Respective V values: 80.8, 168.6, 84.7, 132.3, 110.7, 168.2 Å³/cell.